(1)
! YPu5Rh6 | Alexandria via LeMat-Bulk | GGA-PBE | optimized geometry; values from VASP
! DFT total energy = -10.63 eV/atom
! calculated volume = 241.9 Å³/cell
! space-group type = No. 71
! formation energy = -445 meV per atom
! total magnetic moment = 0.41 μB per atom
&SYSTEM
  ibrav = 0, nat = 12, ntyp = 3
/
ATOMIC_SPECIES
Y 88.91 Y.upf
Pu 244.00 Pu.upf
Rh 102.91 Rh.upf
CELL_PARAMETERS angstrom
-2.425 3.439 7.250
2.425 -3.439 7.250
2.425 3.439 -7.250
ATOMIC_POSITIONS angstrom
Y 0.000 0.000 0.000
Pu 2.425 0.000 2.435
Pu 0.000 0.000 4.828
Pu 0.000 3.439 0.000
Pu 0.000 0.000 9.673
Pu 0.000 3.439 4.815
Rh 2.425 -1.736 4.801
Rh 2.425 1.721 0.000
Rh 0.000 1.703 2.449
Rh 2.425 1.736 4.801
Rh 0.000 1.718 7.250
Rh 0.000 5.175 2.449

=====

(2)
! NaPr4Th3S8 | Alexandria via LeMat-Bulk | GGA-PBE | optimized geometry; values from VASP
! DFT total energy = -6.62 eV/atom
! calculated volume = 381.3 Å³/cell
! space-group type = No. 166
! total magnetic moment = 0.00 μB per atom
! energy relative to the elements, uncorrected = -1.89 eV per atom
&SYSTEM
  ibrav = 0, nat = 16, ntyp = 4
/
ATOMIC_SPECIES
Na 22.99 Na.upf
Pr 140.91 Pr.upf
Th 232.04 Th.upf
S 32.06 S.upf
CELL_PARAMETERS angstrom
4.070 2.350 6.644
-4.070 2.350 6.644
0.000 -4.700 6.644
ATOMIC_POSITIONS angstrom
Na 0.000 0.000 0.000
Pr -4.070 0.000 9.966
Pr -2.035 1.175 3.322
Pr 2.035 1.175 3.322
Pr 0.000 0.000 9.966
Th -2.035 -1.175 6.644
Th -2.035 1.175 13.288
Th 0.000 2.350 6.644
S 0.000 -2.370 8.247
S -2.052 1.185 8.247
S -2.052 -1.185 11.685
S 0.000 0.000 5.008
S 0.000 0.000 14.924
S 2.052 1.185 8.247
S 2.052 -1.185 11.685
S 0.000 2.370 11.685

=====

(3)
! K2AsO4 | Alexandria via LeMat-Bulk | GGA-PBE | optimized geometry; values from VASP
! DFT total energy = -5.05 eV/atom
! calculated volume = 101.6 Å³/cell
! space-group type = No. 139
! total magnetic moment = 0.14 μB per atom
! energy relative to the elements, uncorrected = -1.24 eV per atom
! energy above the lowest structure with this stoichiometry = 0.168 eV/atom
&SYSTEM
  ibrav = 0, nat = 7, ntyp = 3
/
ATOMIC_SPECIES
K 39.10 K.upf
As 74.92 As.upf
O 16.00 O.upf
CELL_PARAMETERS angstrom
-1.960 1.960 6.617
1.960 -1.960 6.617
1.960 1.960 -6.617
ATOMIC_POSITIONS angstrom
K 0.000 0.000 2.026
K 0.000 0.000 11.209
As 0.000 0.000 6.617
O 1.960 0.000 0.000
O 0.000 0.000 4.858
O 0.000 1.960 0.000
O 0.000 0.000 8.377

=====

(4)
! ScHRh3 | Alexandria via LeMat-Bulk | GGA-PBE | optimized geometry; values from VASP
! DFT total energy = -6.79 eV/atom
! calculated volume = 128.4 Å³/cell
! space-group type = No. 12
! total magnetic moment = 0.00 μB per atom
! energy above the lowest structure with this stoichiometry = 0.122 eV/atom
&SYSTEM
  ibrav = 0, nat = 10, ntyp = 3
/
ATOMIC_SPECIES
Sc 44.96 Sc.upf
H 1.01 H.upf
Rh 102.91 Rh.upf
CELL_PARAMETERS angstrom
8.585 -1.934 0.000
8.585 1.934 0.000
-0.915 0.000 3.866
ATOMIC_POSITIONS angstrom
Sc 0.964 0.000 1.249
Sc 15.292 0.000 2.617
H 5.519 0.000 0.299
H 10.736 0.000 3.567
Rh 2.444 0.000 3.643
Rh 4.846 0.000 2.173
Rh 7.339 0.000 0.725
Rh 8.917 0.000 3.142
Rh 11.410 0.000 1.693
Rh 13.811 0.000 0.223

=====

(5)
! CdPt14Au | Alexandria via LeMat-Bulk | GGA-PBE | optimized geometry; values from VASP
! DFT total energy = -5.58 eV/atom
! calculated volume = 256.0 Å³/cell
! space-group type = No. 123
! formation energy = -30 meV per atom
! total magnetic moment = 0.00 μB per atom
&SYSTEM
  ibrav = 0, nat = 16, ntyp = 3
/
ATOMIC_SPECIES
Cd 112.41 Cd.upf
Pt 195.08 Pt.upf
Au 196.97 Au.upf
CELL_PARAMETERS angstrom
5.693 0.000 0.000
0.000 5.693 0.000
0.000 0.000 7.898
ATOMIC_POSITIONS angstrom
Cd 0.000 0.000 0.000
Pt 0.000 0.000 3.949
Pt 0.000 2.847 0.000
Pt 0.000 2.847 3.949
Pt 1.425 1.425 2.005
Pt 1.425 1.425 5.894
Pt 1.425 4.269 2.005
Pt 1.425 4.269 5.894
Pt 2.847 0.000 0.000
Pt 2.847 0.000 3.949
Pt 2.847 2.847 3.949
Pt 4.269 1.425 2.005
Pt 4.269 1.425 5.894
Pt 4.269 4.269 2.005
Pt 4.269 4.269 5.894
Au 2.847 2.847 0.000

=====

(6)
! Zr2PbCl | Alexandria via LeMat-Bulk | GGA-PBE | optimized geometry; values from VASP
! DFT total energy = -5.82 eV/atom
! calculated volume = 93.8 Å³/cell
! space-group type = No. 47
! total magnetic moment = 0.00 μB per atom
! energy relative to the elements, uncorrected = -0.15 eV per atom
! energy above the lowest structure with this stoichiometry = 0.359 eV/atom
&SYSTEM
  ibrav = 0, nat = 4, ntyp = 3
/
ATOMIC_SPECIES
Zr 91.22 Zr.upf
Pb 207.20 Pb.upf
Cl 35.45 Cl.upf
CELL_PARAMETERS angstrom
3.234 0.000 0.000
0.000 5.012 0.000
0.000 0.000 5.786
ATOMIC_POSITIONS angstrom
Zr 0.000 0.000 0.000
Zr 1.617 0.000 2.893
Pb 0.000 2.506 2.893
Cl 1.617 2.506 0.000

=====

(7)
! GeRh | Alexandria via LeMat-Bulk | GGA-PBE | optimized geometry; values from VASP
! DFT total energy = -6.22 eV/atom
! calculated volume = 165.5 Å³/cell
! space-group type = No. 87
! formation energy = -234 meV per atom
! total magnetic moment = 0.00 μB per atom
&SYSTEM
  ibrav = 0, nat = 8, ntyp = 2
/
ATOMIC_SPECIES
Ge 72.64 Ge.upf
Rh 102.91 Rh.upf
CELL_PARAMETERS angstrom
-4.235 4.235 2.306
4.235 -4.235 2.306
4.235 4.235 -2.306
ATOMIC_POSITIONS angstrom
Ge 2.461 1.302 0.000
Ge 2.933 -1.774 2.306
Ge 1.302 6.009 0.000
Ge 1.774 2.933 2.306
Rh 5.222 0.990 0.000
Rh 0.990 3.248 0.000
Rh 3.245 0.987 2.306
Rh -0.987 3.245 2.306

=====

(8)
! Pr4Er15In | Alexandria via LeMat-Bulk | GGA-PBE | optimized geometry; values from VASP
! DFT total energy = -4.54 eV/atom
! calculated volume = 621.5 Å³/cell
! space-group type = No. 123
! formation energy = -22 meV per atom
! total magnetic moment = 0.00 μB per atom
&SYSTEM
  ibrav = 0, nat = 20, ntyp = 3
/
ATOMIC_SPECIES
Pr 140.91 Pr.upf
Er 167.26 Er.upf
In 114.82 In.upf
CELL_PARAMETERS angstrom
4.976 0.000 0.000
0.000 4.976 0.000
0.000 0.000 25.101
ATOMIC_POSITIONS angstrom
Pr 0.000 0.000 2.549
Pr 0.000 0.000 7.591
Pr 0.000 0.000 17.510
Pr 0.000 0.000 22.552
Er 0.000 2.488 0.000
Er 0.000 2.488 5.078
Er 0.000 2.488 10.162
Er 0.000 2.488 14.939
Er 0.000 2.488 20.024
Er 2.488 0.000 0.000
Er 2.488 0.000 5.078
Er 2.488 0.000 10.162
Er 2.488 0.000 14.939
Er 2.488 0.000 20.024
Er 2.488 2.488 2.549
Er 2.488 2.488 7.687
Er 2.488 2.488 12.551
Er 2.488 2.488 17.414
Er 2.488 2.488 22.552
In 0.000 0.000 12.551

=====

Question: Which formula does entry 1 have?
Answer: YPu5Rh6

=====

Question: total magnetic moment of number 8 (Pr4Er15In)?
Answer: 0.00 μB per atom

=====

Question: Which formula does entry 1 have?
Answer: YPu5Rh6